(1)
The following is a PBE calculation of a relaxed YBePt3 crystal, from Alexandria.

a b c (Å): 6.4970 6.4970 6.8646
angles (deg): 90.00 90.00 120.00
Space group R3m (No. 160, hexagonal axes)
Unique sites:
Y (0.0000, 0.0000, 0.0000)
Be (0.0000, 0.0000, 0.5760)
Pt (0.0337, 0.5168, 0.0172)

Output
For the total energy, the calculation gives -98.22 eV/cell.

(2)
The following is a PBE calculation of a relaxed Zr6Zn3Rh crystal, from Alexandria.

a b c (Å): 8.1577 4.8634 10.2580
angles (deg): 90.00 107.78 90.00
Space group P2_1/m (No. 11)
Unique sites:
Zr (0.0448, 0.2500, 0.4105)
Zr (0.1620, 0.7500, 0.1818)
Zr (0.2558, 0.2500, 0.9964)
Zr (0.3407, 0.7500, 0.8023)
Zr (0.3643, 0.2500, 0.3190)
Zr (0.4239, 0.2500, 0.6229)
Zn (0.0289, 0.7500, 0.8833)
Zn (0.1145, 0.2500, 0.7040)
Zn (0.2666, 0.7500, 0.4810)
Rh (0.4522, 0.7500, 0.0948)

Output
For the total energy, the calculation gives -130.32 eV/cell.

(3)
The following is a PBE calculation of a relaxed Ac2SmThN4 crystal, from Alexandria.

a b c (Å): 6.4657 3.7513 6.5685
angles (deg): 90.00 109.15 90.00
Space group P2/m (No. 10)
Unique sites:
Ac (0.0000, 0.0000, 0.0000)
Ac (0.5000, 0.5000, 0.0000)
Sm (0.0000, 0.5000, 0.5000)
Th (0.5000, 0.0000, 0.5000)
N (0.2487, 0.0000, 0.7263)
N (0.2646, 0.5000, 0.2788)

Output
The uncorrected formation energy is -1.3180 eV per atom. For the total energy, the calculation gives -64.20 eV/cell.

(4)
The following is a PBE calculation of a relaxed InHg8Pb2 crystal, from Alexandria.

a b c (Å): 17.1207 3.6613 9.6753
angles (deg): 90.00 91.95 90.00
Space group C2/m (No. 12)
Unique sites:
In (0.0000, 0.0000, 0.0000)
Hg (0.0538, 0.5000, 0.7323)
Hg (0.0862, 0.0000, 0.4644)
Hg (0.1238, 0.5000, 0.1818)
Hg (0.1832, 0.0000, 0.9227)
Pb (0.2401, 0.5000, 0.6468)

Output
For the total energy, the calculation gives -24.54 eV/cell.

(5)
The following is a PBE calculation of a relaxed AgAsCl2 crystal, from Alexandria.

a b c (Å): 3.3402 5.9348 8.5839
angles (deg): 90.00 90.00 90.00
Space group Cmmm (No. 65)
Unique sites:
Ag (0.0000, 0.0000, 0.0000)
As (0.0000, 0.0000, 0.5000)
Cl (0.0000, 0.5000, 0.2385)

Output
The uncorrected formation energy is 0.0494 eV per atom. For the total energy, the calculation gives -21.99 eV/cell.

(6)
The following is a PBE calculation of a relaxed Cs2K5Au4 crystal, from Alexandria.

a b c (Å): 15.4683 7.4426 9.6672
angles (deg): 90.00 114.41 90.00
Space group C2/m (No. 12)
Unique sites:
Cs (0.2441, 0.0000, 0.1218)
K (0.0000, 0.5000, 0.0000)
K (0.1037, 0.2398, 0.4319)
Au (0.0975, 0.0000, 0.7334)
Au (0.2214, 0.5000, 0.2721)

Output
For the total energy, the calculation gives -45.07 eV/cell.